8
Lattice="-3.068 -5.362 1.087 1.154 -3.271 5.225 -4.714 0.001 4.807" Properties=species:S:1:pos:R:3 comment="TmRhCl6 | Alexandria via LeMat-Bulk | GGA-PBE | relaxed" dft_energy_ev_per_cell=-33.5 vol_a3_per_cell=193 e_form_raw_kj_per_mol_atoms=-128.0 total_magnetization_mub_per_cell=0.0 pbc="T T T"
Cl -0.770 -4.247 6.219
Cl -5.858 -4.384 4.900
Cl -3.256 -6.935 5.334
Cl -3.897 -4.616 8.106
Cl -2.732 -4.015 3.013
Cl -3.372 -1.696 5.784
Rh 0.000 0.000 0.000
Tm -3.314 -4.316 5.559

---

4
Lattice="4.066 0.000 0.000 2.033 3.521 0.000 2.033 1.174 8.038" Properties=species:S:1:pos:R:3 comment="Tm2RhCl | Alexandria via LeMat-Bulk | GGA-PBE | relaxed" dft_energy_ev_per_cell=-22.9 dos_ef_per_ev_atom=0.0842 vol_a3_per_cell=115 e_form_raw_kj_per_mol_atoms=-113.8 total_magnetization_mub_per_cell=0.0 e_above_lowest_polymorph_mev_per_atom=0.0 pbc="T T T"
Tm 2.033 1.174 5.407
Tm 6.099 3.521 2.632
Cl 0.000 0.000 0.000
Rh 4.066 2.347 4.019

---

4
Lattice="-2.728 0.842 2.650 0.197 -1.564 3.563 3.255 5.635 4.424" Properties=species:S:1:pos:R:3 comment="Tm2RhCl | Alexandria via LeMat-Bulk | GGA-PBE | relaxed" dft_energy_ev_per_cell=-22.8 dos_ef_per_ev_atom=0.0405 vol_a3_per_cell=99 e_form_raw_kj_per_mol_atoms=-111.7 total_magnetization_mub_per_cell=0.0 e_above_lowest_polymorph_mev_per_atom=21.1 pbc="T T T"
Cl 0.457 2.593 5.373
Rh 1.549 5.127 8.555
Tm 2.412 4.426 3.940
Tm -0.076 0.859 2.512

---

5
Lattice="-3.825 2.914 0.286 -2.866 -3.630 -1.348 -0.600 -1.241 4.616" Properties=species:S:1:pos:R:3 comment="VRhCl3 | Alexandria via LeMat-Bulk | GGA-PBE | relaxed" dft_energy_ev_per_cell=-22.1 dos_ef_per_ev_atom=2.2230 vol_a3_per_cell=112 e_form_raw_kj_per_mol_atoms=-1.3 total_magnetization_mub_per_cell=4.4 e_above_lowest_polymorph_mev_per_atom=0.0 pbc="T T T"
Cl -1.913 1.457 0.143
Cl -0.300 -0.620 2.308
Cl -1.433 -1.815 -0.674
Rh -3.646 -0.978 1.777
V 0.000 0.000 0.000

---

7
Lattice="-1.906 -3.821 -1.047 2.607 -2.084 2.862 -3.886 -2.073 5.407" Properties=species:S:1:pos:R:3 comment="V2Rh4Cl | Alexandria via LeMat-Bulk | GGA-PBE | relaxed" dft_energy_ev_per_cell=-44.5 dos_ef_per_ev_atom=1.0859 vol_a3_per_cell=121 e_form_raw_kj_per_mol_atoms=68.6 total_magnetization_mub_per_cell=2.5 pbc="T T T"
V -0.778 -2.718 2.106
V -2.407 -5.260 5.116
Rh -2.219 -2.419 3.637
Rh -0.953 -1.911 -0.523
Rh 1.303 -1.042 1.431
Rh -0.966 -5.559 3.586
Cl 0.000 0.000 0.000

---

4
Lattice="1.765 0.000 7.850 -0.882 1.528 7.850 -0.882 -1.528 7.850" Properties=species:S:1:pos:R:3 comment="VRhCl2 | Alexandria via LeMat-Bulk | GGA-PBE | relaxed" dft_energy_ev_per_cell=-20.9 dos_ef_per_ev_atom=1.0262 vol_a3_per_cell=64 e_form_raw_kj_per_mol_atoms=-18.1 total_magnetization_mub_per_cell=0.7 e_above_lowest_polymorph_mev_per_atom=0.0 pbc="T T T"
Cl 0.000 0.000 21.233
Cl 0.000 0.000 2.317
Rh 0.000 0.000 0.000
V 0.000 0.000 11.775

---

5
Lattice="-0.092 4.378 1.967 -3.906 -1.212 2.514 2.789 -1.552 3.585" Properties=species:S:1:pos:R:3 comment="VRhCl3 | Alexandria via LeMat-Bulk | GGA-PBE | relaxed" dft_energy_ev_per_cell=-21.3 dos_ef_per_ev_atom=2.3190 vol_a3_per_cell=111 e_form_raw_kj_per_mol_atoms=14.6 total_magnetization_mub_per_cell=3.5 e_above_lowest_polymorph_mev_per_atom=164.8 pbc="T T T"
V -0.604 0.807 4.033
Cl 1.395 -0.776 1.793
Cl -0.046 2.189 0.983
Cl -1.953 -0.606 1.257
Rh 0.000 0.000 0.000

---

5
Lattice="4.786 0.000 0.000 0.000 4.786 0.000 0.000 0.000 4.786" Properties=species:S:1:pos:R:3 comment="V3RhCl | Alexandria via LeMat-Bulk | GGA-PBE | relaxed" dft_energy_ev_per_cell=-31.6 dos_ef_per_ev_atom=2.8033 vol_a3_per_cell=110 e_form_raw_kj_per_mol_atoms=96.1 total_magnetization_mub_per_cell=7.6 e_above_lowest_polymorph_mev_per_atom=493.3 pbc="T T T"
Cl 2.393 2.393 2.393
Rh 0.000 0.000 0.000
V 0.000 0.000 2.393
V 0.000 2.393 0.000
V 2.393 0.000 0.000